Density functional theory data (SCAN) for a crystal of MnHgSe2 relaxed with PBEsol.

Values from the calculation:
Raw formation energy ... 0.9 eV/f.u.
Final energy ... -502.62 eV/cell
V ... 312.6 Å³ per cell

Unit cell a=6.787 b=6.787 c=6.787 alpha=90.00 beta=90.00 gamma=90.00
Space group F-43m (No. 216)
Asymmetric unit:
Mn 0.000 0.000 0.000 x4
Hg 0.250 0.250 0.750 x4
Se 0.000 0.000 0.500 x4
Se 0.250 0.250 0.250 x4